# 1
! ErBiSb2 PBE optimized geometry; values from VASP
&SYSTEM
  ibrav = 0, nat = 4, ntyp = 3
/
ATOMIC_SPECIES
Sb 121.76 Sb.upf
Bi 208.98 Bi.upf
Er 167.26 Er.upf
ATOMIC_POSITIONS crystal
Sb 0.0000 0.0000 0.7278
Sb 0.0000 0.0000 0.2722
Bi 0.5000 0.5000 0.0000
Er 0.5000 0.5000 0.5000
CELL_PARAMETERS angstrom
-1.8764 -0.0291 3.6526
-2.0784 -3.3684 -1.0945
4.8508 -3.7931 2.4618
! DOS(E_F) = 2.6 states/eV/f.u.
! Raw formation energy = -34.6 kJ per mole of atoms
! Energy relative to the lowest polymorph listed for this composition = 57 meV/atom

# 2
! PaMnCo10 PBE optimized geometry; values from VASP
&SYSTEM
  ibrav = 0, nat = 12, ntyp = 3
/
ATOMIC_SPECIES
Co 58.93 Co.upf
Pa 231.04 Pa.upf
Mn 54.94 Mn.upf
ATOMIC_POSITIONS crystal
Co 0.0000 0.5000 0.1751
Co 0.0000 0.0000 0.6684
Co 0.5000 0.2587 0.2596
Co 0.5000 0.7413 0.7404
Co 0.5000 0.5000 0.0000
Co 0.5000 0.7413 0.2596
Co 0.0000 0.0000 0.3316
Co 0.5000 0.2587 0.7404
Co 0.0000 0.5000 0.8249
Co 0.5000 0.0000 0.5000
Pa 0.0000 0.0000 0.0000
Mn 0.0000 0.5000 0.5000
CELL_PARAMETERS angstrom
-1.1772 2.8374 -2.6298
-1.5875 -3.3864 -2.9430
-7.2889 0.2999 3.5865
! DFT total energy = -89.3 eV for the cell shown
! DOS(E_F) = 16.3 states/eV/f.u.

# 3
! Rb3Hg4Sb2 PBE optimized geometry; values from VASP
&SYSTEM
  ibrav = 0, nat = 9, ntyp = 3
/
ATOMIC_SPECIES
Rb 85.47 Rb.upf
Hg 200.59 Hg.upf
Sb 121.76 Sb.upf
ATOMIC_POSITIONS crystal
Rb 0.3860 0.8475 0.3814
Rb 0.0000 0.0000 0.0000
Rb 0.6140 0.1525 0.6186
Hg 0.0944 0.4501 0.3610
Hg 0.2788 0.3620 0.0808
Hg 0.9056 0.5499 0.6390
Hg 0.7212 0.6380 0.9192
Sb 0.2981 0.6254 0.7781
Sb 0.7019 0.3746 0.2219
CELL_PARAMETERS angstrom
5.4126 -0.0012 0.0055
2.7042 6.2051 0.5896
2.7132 3.2533 10.4662
! DOS(E_F) = 1.9 states/eV/f.u.
! Raw formation energy = -24.6 kJ per mole of atoms
! Energy relative to the lowest polymorph listed for this composition = 82 meV/atom

# 4
! NbGaNi6 PBE optimized geometry; values from VASP
&SYSTEM
  ibrav = 0, nat = 8, ntyp = 3
/
ATOMIC_SPECIES
Ni 58.69 Ni.upf
Ga 69.72 Ga.upf
Nb 92.91 Nb.upf
ATOMIC_POSITIONS crystal
Ni 0.5000 0.0000 0.2468
Ni 0.5000 0.0000 0.7532
Ni 0.0000 0.5000 0.2468
Ni 0.0000 0.5000 0.7532
Ni 0.5000 0.5000 0.5000
Ni 0.5000 0.5000 0.0000
Ga 0.0000 0.0000 0.0000
Nb 0.0000 0.0000 0.5000
CELL_PARAMETERS angstrom
-0.8539 -2.6977 2.3042
1.0022 -2.4569 -2.5051
6.7044 0.0918 2.5920
! DOS(E_F) = 1.9 states/eV/f.u.
! Energy relative to the lowest polymorph listed for this composition = 0 meV/atom

# 5
! SbWCl2 PBE optimized geometry; values from VASP
&SYSTEM
  ibrav = 0, nat = 4, ntyp = 3
/
ATOMIC_SPECIES
Cl 35.45 Cl.upf
Sb 121.76 Sb.upf
W 183.84 W.upf
ATOMIC_POSITIONS crystal
Cl 0.0000 0.0000 0.9054
Cl 0.0000 0.0000 0.5946
Sb 0.5000 0.5000 0.2500
W 0.5000 0.5000 0.7500
CELL_PARAMETERS angstrom
-1.1587 2.9022 0.9351
-1.7239 -2.7561 -0.2677
2.6119 -2.7890 11.8931
! DOS(E_F) = 2.5 states/eV/f.u.
! Raw formation energy = 12.7 kJ per mole of atoms
! Energy relative to the lowest polymorph listed for this composition = 262 meV/atom

Spin magnetization list, top to bottom, in μB per cell: 0.0 17.5 0.0 0.0 1.0